No. 1
# ZrGaAgSb2 (PBE, optimized geometry)
# E_tot   -3.95 eV/atom
# Mass density   6.2 g cm⁻³
# Size of the total moment   0.517 μB per formula unit
data_ZrGaAgSb2
_chemical_formula_sum 'Zr1 Ga1 Ag1 Sb2'
_symmetry_space_group_name_H-M 'P 4/m m m'
_symmetry_Int_Tables_number 123
_symmetry_space_group_name_Hall '-P 4 2'
_cell_length_a 5.419
_cell_length_b 5.419
_cell_length_c 4.645
_cell_angle_alpha 90.00
_cell_angle_beta 90.00
_cell_angle_gamma 90.00
loop_
_atom_site_label
_atom_site_fract_x
_atom_site_fract_y
_atom_site_fract_z
Zr1 0.000 0.000 0.000
Ga1 0.500 0.500 0.000
Ag1 0.500 0.500 0.500
Sb1 0.000 0.500 0.500


No. 2
# ScGa2Ag6 (PBE, optimized geometry)
# Energy of formation   -0.10 eV/atom
# Mass density   8.4 g cm⁻³
# Size of the total moment   0.000 μB per formula unit
data_ScGa2Ag6
_chemical_formula_sum 'Sc4 Ga8 Ag24'
_symmetry_space_group_name_H-M 'C 1 2/c 1'
_symmetry_Int_Tables_number 15
_symmetry_space_group_name_Hall '-C 2yc'
_cell_length_a 11.872
_cell_length_b 7.372
_cell_length_c 8.973
_cell_angle_alpha 90.00
_cell_angle_beta 123.50
_cell_angle_gamma 90.00
loop_
_atom_site_label
_atom_site_fract_x
_atom_site_fract_y
_atom_site_fract_z
Sc1 0.000 0.147 0.250
Ga1 0.210 0.417 0.521
Ag1 0.081 0.486 0.684
Ag2 0.124 0.203 0.979
Ag3 0.152 0.118 0.667


No. 3
# Sc3GaAg (PBE, optimized geometry)
# Energy of formation   -0.02 eV/atom
# E above lowest polymorph   0.323 eV per atom
# Mass density   4.5 g cm⁻³
# Size of the total moment   0.000 μB per formula unit
data_Sc3GaAg
_chemical_formula_sum 'Sc6 Ga2 Ag2'
_symmetry_space_group_name_H-M 'P 63/m m c'
_symmetry_Int_Tables_number 194
_symmetry_space_group_name_Hall '-P 6c 2c'
_cell_length_a 7.3948
_cell_length_b 7.3948
_cell_length_c 4.9209
_cell_angle_alpha 90.00
_cell_angle_beta 90.00
_cell_angle_gamma 120.00
loop_
_atom_site_label
_atom_site_fract_x
_atom_site_fract_y
_atom_site_fract_z
Sc1 0.1978 0.3955 0.2500
Ga1 0.3333 0.6667 0.7500
Ag1 0.0000 0.0000 0.0000


No. 4
# ScGa4Ag4 (PBE, optimized geometry)
# Energy of formation   -0.04 eV/atom
# Mass density   7.2 g cm⁻³
# Size of the total moment   0.000 μB per formula unit
data_ScGa4Ag4
_chemical_formula_sum 'Sc2 Ga8 Ag8'
_symmetry_space_group_name_H-M 'P 42/n m c'
_symmetry_Int_Tables_number 137
_cell_length_a 6.152
_cell_length_b 6.152
_cell_length_c 9.148
_cell_angle_alpha 90.00
_cell_angle_beta 90.00
_cell_angle_gamma 90.00
loop_
_symmetry_equiv_pos_as_xyz
'x,y,z'
'-x,-y,-z'
'-y+1/2,x,z+1/2'
'y+1/2,-x,-z+1/2'
'-x+1/2,-y+1/2,z'
'x+1/2,y+1/2,-z'
'y,-x+1/2,z+1/2'
'-y,x+1/2,-z+1/2'
'x+1/2,-y,-z'
'-x+1/2,y,z'
'-y,-x,-z+1/2'
'y,x,z+1/2'
'-x,y+1/2,-z'
'x,-y+1/2,z'
'y+1/2,x+1/2,-z+1/2'
'-y+1/2,-x+1/2,z+1/2'
loop_
_atom_site_label
_atom_site_fract_x
_atom_site_fract_y
_atom_site_fract_z
Sc1 0.250 0.750 0.250
Ga1 0.009 0.250 0.025
Ag1 0.032 0.250 0.321


No. 5
# Sc2Ga3Ag2 (PBE, optimized geometry)
# Energy of formation   -0.36 eV/atom
# Mass density   6.5 g cm⁻³
# Size of the total moment   0.000 μB per formula unit
data_Sc2Ga3Ag2
_chemical_formula_sum 'Sc8 Ga12 Ag8'
_symmetry_space_group_name_H-M 'C m c m'
_symmetry_Int_Tables_number 63
_symmetry_space_group_name_Hall '-C 2c 2'
_cell_length_a 3.560
_cell_length_b 19.944
_cell_length_c 7.433
_cell_angle_alpha 90.00
_cell_angle_beta 90.00
_cell_angle_gamma 90.00
loop_
_atom_site_label
_atom_site_fract_x
_atom_site_fract_y
_atom_site_fract_z
Sc1 0.000 0.055 0.250
Sc2 0.000 0.147 0.750
Ga1 0.000 0.243 0.250
Ga2 0.000 0.446 0.077
Ag1 0.000 0.324 0.558


No. 6
# ScGa3Ag3 (PBE, optimized geometry)
# Energy of formation   0.44 eV/atom
# E above lowest polymorph   0.551 eV per atom
# Mass density   5.5 g cm⁻³
# Size of the total moment   0.128 μB per formula unit
data_ScGa3Ag3
_chemical_formula_sum 'Sc2 Ga6 Ag6'
_symmetry_space_group_name_H-M 'P m -3 n'
_symmetry_Int_Tables_number 223
_symmetry_space_group_name_Hall '-P 4n 2 3'
_cell_length_a 7.033
_cell_length_b 7.033
_cell_length_c 7.033
_cell_angle_alpha 90.00
_cell_angle_beta 90.00
_cell_angle_gamma 90.00
loop_
_atom_site_label
_atom_site_fract_x
_atom_site_fract_y
_atom_site_fract_z
Sc1 0.000 0.000 0.000
Ga1 0.000 0.250 0.500
Ag1 0.000 0.500 0.250